# 1
Here is an optimized crystal structure of BiTe2IrPt from the Alexandria database. Energies are from PBE-GGA.

Values from the calculation:
magnetization = 0.000 μB/f.u.
volume = 141.7 Å³ per cell
formation energy (no corrections) = 843 meV per atom
Fermi-level density of states = 5.6 states/eV/cell
SG = P4/mmm (123)

Lattice parameters (Å, degrees): 5.1309 5.3809 5.1309 90.00 90.00 90.00
With the nearest neighbours (Å) after each atom.
Atoms (fractional coordinates):
Ir1 0.0000 0.0000 0.0000  4 Te 2.57, 2 Bi 2.69
Pt1 0.5000 0.5000 0.5000  4 Bi 3.63, 8 Te 3.72
Te1 0.0000 0.0000 0.5000  2 Ir 2.57
Bi1 0.0000 0.5000 0.0000  2 Ir 2.69
Te2 0.5000 0.0000 0.0000  2 Ir 2.57

# 2
Here is an optimized crystal structure of Th3BiIrPt from the Alexandria database. Energies are from PBE-GGA.

Values from the calculation:
magnetization = 0.002 μB/f.u.
volume = 337.2 Å³ per cell
Fermi-level density of states = 11.5 states/eV/cell
SG = P2_1/m (11)
DFT formation energy = -0.809 eV/atom

Lattice parameters (Å, degrees): 4.3048 8.6205 10.1834 116.85 90.00 90.00
With the nearest neighbours (Å) after each atom.
Atoms (fractional coordinates):
Bi1 0.2500 0.2674 0.2627  8 Th 3.38-3.56
Th1 0.7500 0.9208 0.1288  1 Pt 2.86, 2 Ir 2.90
Bi2 0.7500 0.7326 0.7373  8 Th 3.38-3.56
Th2 0.7500 0.2822 0.5240  3 Pt 2.94-2.99, 1 Ir 3.13
Th3 0.2500 0.0792 0.8712  1 Pt 2.86, 2 Ir 2.90
Th4 0.2500 0.7178 0.4760  3 Pt 2.94-2.99, 1 Ir 3.13
Ir1 0.7500 0.2786 0.8303  6 Th 2.86-3.13, 2 Pt 3.03
Ir2 0.2500 0.7214 0.1697  6 Th 2.86-3.13, 2 Pt 3.03
Pt1 0.2500 0.1049 0.6004  4 Th 2.86-2.99, 2 Pt 2.96, 2 Ir 3.03
Pt2 0.7500 0.8951 0.3996  4 Th 2.86-2.99, 2 Pt 2.96, 2 Ir 3.03
Th5 0.2500 0.5186 0.8569  3 Ir 2.86-2.91
Th6 0.7500 0.4814 0.1431  3 Ir 2.86-2.91

# 3
Here is an optimized crystal structure of ZrBiIr2Pt from the Alexandria database. Energies are from PBE-GGA.

Values from the calculation:
magnetization = 0.000 μB/f.u.
volume = 127.9 Å³ per cell
Fermi-level density of states = 6.1 states/eV/cell
SG = P4/mmm (123)
DFT formation energy = 1.833 eV/atom

Lattice parameters (Å, degrees): 4.8871 5.3560 4.8871 90.00 90.00 90.00
With the nearest neighbours (Å) after each atom.
Atoms (fractional coordinates):
Zr1 0.0000 0.5000 0.0000  2 Bi 2.68
Pt1 0.5000 0.5000 0.5000  4 Zr 3.46, 8 Ir 3.63
Bi1 0.0000 0.0000 0.0000  4 Ir 2.44, 2 Zr 2.68
Ir1 0.0000 0.0000 0.5000  2 Bi 2.44
Ir2 0.5000 0.0000 0.0000  2 Bi 2.44

# 4
Here is an optimized crystal structure of PuBiIr from the Alexandria database. Energies are from PBE-GGA.

Values from the calculation:
magnetization = 5.132 μB/f.u.
volume = 149.4 Å³ per cell
Fermi-level density of states = 18.0 states/eV/cell
SG = C2/m (12)
DFT formation energy = -0.264 eV/atom

Lattice parameters (Å, degrees): 4.4003 6.6413 5.5052 99.64 90.00 109.35
With the nearest neighbours (Å) after each atom.
Atoms (fractional coordinates):
Bi1 0.4207 0.8415 0.7205  3 Ir 2.79-3.02
Ir1 0.2185 0.4370 0.3300  3 Bi 2.79-3.02, 4 Pu 2.84-2.95, 2 Ir 2.91
Ir2 0.7815 0.5630 0.6700  3 Bi 2.79-3.02, 4 Pu 2.84-2.95, 2 Ir 2.91
Pu1 0.8520 0.7039 0.1899  4 Ir 2.84-2.95
Bi2 0.5793 0.1585 0.2795  3 Ir 2.79-3.02
Pu2 0.1480 0.2961 0.8101  4 Ir 2.84-2.95

# 5
Here is an optimized crystal structure of PuBiIr from the Alexandria database. Energies are from PBE-GGA.

Values from the calculation:
magnetization = 4.488 μB/f.u.
volume = 71.0 Å³ per cell
Fermi-level density of states = 9.8 states/eV/cell
SG = I4mm (107)
DFT formation energy = -0.088 eV/atom

Lattice parameters (Å, degrees): 3.5265 3.5265 6.2299 106.44 106.44 90.00
With the nearest neighbours (Å) after each atom.
Atoms (fractional coordinates):
Pu1 0.9183 0.9183 0.8366  4 Ir 2.83
Bi1 0.6313 0.6313 0.2626  4 Ir 3.15, 5 Pu 3.28-3.48, 4 Bi 3.53
Ir1 0.3004 0.3004 0.6008  4 Pu 2.83, 4 Bi 3.15

# 6
Here is an optimized crystal structure of PuBiIr4 from the Alexandria database. Energies are from PBE-GGA.

Values from the calculation:
magnetization = 4.502 μB/f.u.
volume = 110.2 Å³ per cell
Fermi-level density of states = 11.1 states/eV/cell
SG = F-43m (216)
DFT formation energy = -0.165 eV/atom

Lattice parameters (Å, degrees): 5.3818 5.3818 5.3818 60.00 60.00 60.00
With the nearest neighbours (Å) after each atom.
Atoms (fractional coordinates):
Bi1 0.0000 0.0000 0.0000  12 Ir 3.16, 4 Pu 3.30
Ir1 0.6250 0.6250 0.1250  6 Ir 2.69
Ir2 0.6250 0.6250 0.6250  6 Ir 2.69
Ir3 0.6250 0.1250 0.6250  6 Ir 2.69
Pu1 0.2500 0.2500 0.2500  12 Ir 3.16, 4 Bi 3.30
Ir4 0.1250 0.6250 0.6250  6 Ir 2.69

# 7
Here is an optimized crystal structure of Rb2Bi2Ir from the Alexandria database. Energies are from PBE-GGA.

Values from the calculation:
magnetization = 1.626 μB/f.u.
volume = 390.4 Å³ per cell
Fermi-level density of states = 9.5 states/eV/cell
SG = P4/mbm (127)
DFT formation energy = 0.797 eV/atom

Lattice parameters (Å, degrees): 11.0089 11.0089 3.2214 90.00 90.00 90.00
With the nearest neighbours (Å) after each atom.
Atoms (fractional coordinates):
Bi1 0.9067 0.4067 0.5000  3 Bi 2.91-3.22
Rb1 0.7025 0.2025 0.0000  2 Rb 3.22, 2 Bi 3.56
Rb2 0.2025 0.2975 0.0000  2 Rb 3.22, 2 Bi 3.56
Ir1 0.0000 0.0000 0.0000  2 Ir 3.22
Bi2 0.0933 0.5933 0.5000  3 Bi 2.91-3.22
Rb3 0.2975 0.7975 0.0000  2 Rb 3.22, 2 Bi 3.56
Bi3 0.4067 0.0933 0.5000  3 Bi 2.91-3.22
Bi4 0.5933 0.9067 0.5000  3 Bi 2.91-3.22
Ir2 0.5000 0.5000 0.0000  2 Ir 3.22
Rb4 0.7975 0.7025 0.0000  2 Rb 3.22, 2 Bi 3.56

# 8
Here is an optimized crystal structure of RbBi12Ir4 from the Alexandria database. Energies are from PBE-GGA.

Values from the calculation:
magnetization = 0.000 μB/f.u.
volume = 483.1 Å³ per cell
Fermi-level density of states = 4.9 states/eV/cell
SG = Im-3 (204)
DFT formation energy = -0.087 eV/atom

Lattice parameters (Å, degrees): 8.5613 8.5613 8.5613 109.47 109.47 109.47
With the nearest neighbours (Å) after each atom.
Atoms (fractional coordinates):
Ir1 0.0000 0.0000 0.5000  6 Bi 2.77
Bi1 0.5018 0.8408 0.6610  2 Ir 2.77
Ir2 0.0000 0.5000 0.0000  6 Bi 2.77
Bi2 0.8202 0.1592 0.6610  2 Ir 2.77
Rb1 0.0000 0.0000 0.0000  12 Bi 3.70
Ir3 0.5000 0.0000 0.0000  6 Bi 2.77
Bi3 0.3390 0.1798 0.8408  2 Ir 2.77
Bi4 0.3390 0.4982 0.1592  2 Ir 2.77
Bi5 0.1798 0.8408 0.3390  2 Ir 2.77
Bi6 0.1592 0.6610 0.8202  2 Ir 2.77
Ir4 0.5000 0.5000 0.5000  6 Bi 2.77
Bi7 0.1592 0.3390 0.4982  2 Ir 2.77
Bi8 0.8408 0.6610 0.5018  2 Ir 2.77
Bi9 0.8408 0.3390 0.1798  2 Ir 2.77
Bi10 0.4982 0.1592 0.3390  2 Ir 2.77
Bi11 0.6610 0.8202 0.1592  2 Ir 2.77
Bi12 0.6610 0.5018 0.8408  2 Ir 2.77

# 9
Here is an optimized crystal structure of RbBi2Ir2 from the Alexandria database. Energies are from PBE-GGA.

Values from the calculation:
magnetization = 0.000 μB/f.u.
volume = 130.6 Å³ per cell
Fermi-level density of states = 6.1 states/eV/cell
SG = I4/mmm (139)
DFT formation energy = 0.230 eV/atom

Lattice parameters (Å, degrees): 4.9766 4.9766 6.3390 66.89 66.89 90.00
With the nearest neighbours (Å) after each atom.
Atoms (fractional coordinates):
Rb1 0.0000 0.0000 0.0000  8 Bi 3.63, 10 Ir 3.74-4.01
Bi1 0.7500 0.2500 0.5000  4 Ir 2.84
Ir1 0.3801 0.3801 0.2398  1 Ir 2.53
Ir2 0.6199 0.6199 0.7602  1 Ir 2.53
Bi2 0.2500 0.7500 0.5000  4 Ir 2.84

# 10
Here is an optimized crystal structure of Rb2Bi2Ir from the Alexandria database. Energies are from PBE-GGA.

Values from the calculation:
magnetization = 0.000 μB/f.u.
volume = 330.4 Å³ per cell
Fermi-level density of states = 7.4 states/eV/cell
SG = P4/mbm (127)
DFT formation energy = -0.015 eV/atom

Lattice parameters (Å, degrees): 7.2569 7.2569 6.2732 90.00 90.00 90.00
With the nearest neighbours (Å) after each atom.
Atoms (fractional coordinates):
Ir1 0.5000 0.5000 0.0000  4 Bi 2.76
Ir2 0.0000 0.0000 0.0000  4 Bi 2.76
Rb1 0.8238 0.3238 0.5000  6 Bi 3.60-3.94, 5 Rb 3.62-3.78
Bi1 0.8492 0.6508 0.0000  2 Ir 2.76
Rb2 0.1762 0.6762 0.5000  6 Bi 3.60-3.94, 5 Rb 3.62-3.78
Rb3 0.6762 0.8238 0.5000  6 Bi 3.60-3.94, 5 Rb 3.62-3.78
Bi2 0.3492 0.8492 0.0000  2 Ir 2.76
Rb4 0.3238 0.1762 0.5000  6 Bi 3.60-3.94, 5 Rb 3.62-3.78
Bi3 0.1508 0.3492 0.0000  2 Ir 2.76
Bi4 0.6508 0.1508 0.0000  2 Ir 2.76

# 11
Here is an optimized crystal structure of RbBiIr3 from the Alexandria database. Energies are from PBE-GGA.

Values from the calculation:
ΔE to the lowest computed polymorph = 0 meV per atom
magnetization = 0.850 μB/f.u.
volume = 136.0 Å³ per cell
Fermi-level density of states = 4.1 states/eV/cell
SG = Pm-3m (221)
DFT formation energy = 1.681 eV/atom

Lattice parameters (Å, degrees): 5.1421 5.1421 5.1421 90.00 90.00 90.00
With the nearest neighbours (Å) after each atom.
Atoms (fractional coordinates):
Ir1 0.5000 0.0000 0.0000  2 Bi 2.57
Ir2 0.0000 0.0000 0.5000  2 Bi 2.57
Ir3 0.0000 0.5000 0.0000  2 Bi 2.57
Rb1 0.5000 0.5000 0.5000  12 Ir 3.64
Bi1 0.0000 0.0000 0.0000  6 Ir 2.57

# 12
Here is an optimized crystal structure of RbBiIr3 from the Alexandria database. Energies are from PBE-GGA.

Values from the calculation:
ΔE to the lowest computed polymorph = 1170 meV per atom
magnetization = 0.813 μB/f.u.
volume = 119.2 Å³ per cell
Fermi-level density of states = 6.2 states/eV/cell
SG = Pm-3m (221)
DFT formation energy = 2.852 eV/atom

Lattice parameters (Å, degrees): 4.9211 4.9211 4.9211 90.00 90.00 90.00
With the nearest neighbours (Å) after each atom.
Atoms (fractional coordinates):
Ir1 0.0000 0.0000 0.5000  2 Rb 2.46
Bi1 0.5000 0.5000 0.5000  12 Ir 3.48
Ir2 0.5000 0.0000 0.0000  2 Rb 2.46
Rb1 0.0000 0.0000 0.0000  6 Ir 2.46
Ir3 0.0000 0.5000 0.0000  2 Rb 2.46

# 13
Here is an optimized crystal structure of RbBiIr2 from the Alexandria database. Energies are from PBE-GGA.

Values from the calculation:
magnetization = 0.000 μB/f.u.
volume = 208.8 Å³ per cell
Fermi-level density of states = 4.3 states/eV/cell
SG = I-42d (122)
DFT formation energy = 1.126 eV/atom

Lattice parameters (Å, degrees): 8.0107 8.0107 6.5323 52.18 52.18 90.00
With the nearest neighbours (Å) after each atom.
Atoms (fractional coordinates):
Bi1 0.0000 0.0000 0.0000  4 Ir 2.63
Ir1 0.8750 0.9369 0.7500  2 Bi 2.63
Rb1 0.2500 0.7500 0.5000  2 Bi 3.25, 8 Ir 3.30-3.50
Ir2 0.6869 0.1250 0.2500  2 Bi 2.63
Rb2 0.5000 0.5000 0.0000  2 Bi 3.25, 8 Ir 3.30-3.50
Ir3 0.0631 0.6250 0.2500  2 Bi 2.63
Bi2 0.7500 0.2500 0.5000  4 Ir 2.63
Ir4 0.3750 0.3131 0.7500  2 Bi 2.63